Here is a relaxed HgMoO4 crystal from Alexandria. Energies are from PBE+U.

For the total energy, the calculation gives -136.04 eV/cell.

It has space group P2_1/c (No. 14), with a = 5.776 Å, b = 9.309 Å, c = 9.213 Å, α = 90.00°, β = 120.66° and γ = 90.00°. Symmetry generates all atoms from Hg at (0.104, 0.042, 0.343), Mo at (0.356, 0.691, 0.641), O at (0.158, 0.641, 0.091), O at (0.213, 0.578, 0.464), O at (0.311, 0.233, 0.805) and O at (0.374, 0.600, 0.825).